[1]
GGA-PBE SrTeSe2, relaxed; calculated volume = 119.06 Å³ per cell; energy relative to the elements, uncorrected = -674.0 meV/atom; E_tot = -3.622 eV/atom
1.0
-3.7715 -1.7183 -0.3825
0.4521 -1.8194 3.7158
-2.8094 5.4918 3.0308
Se Sr Te
2 1 1
direct
0.0000 0.0000 0.0708 Se
0.0000 0.0000 0.4292 Se
0.5000 0.5000 0.2500 Sr
0.5000 0.5000 0.7500 Te



[2]
GGA-PBE Ca3Cu6Sb5, relaxed; calculated volume = 591.29 Å³ per cell; energy relative to the elements, uncorrected = -423.7 meV/atom; E_tot = -4.080 eV/atom
1.0
4.2982 0.0000 0.0000
0.0000 10.6793 0.0000
0.0000 0.0000 12.8816
Ca Cu Sb
6 12 10
direct
0.0000 0.2492 0.6722 Ca
0.5000 0.7508 0.1722 Ca
0.5000 0.7508 0.8278 Ca
0.0000 0.2392 0.0000 Ca
0.5000 0.7608 0.5000 Ca
0.0000 0.2492 0.3278 Ca
0.0000 0.9951 0.8436 Cu
0.5000 0.0049 0.6564 Cu
0.5000 0.3770 0.8267 Cu
0.5000 0.4947 0.0000 Cu
0.0000 0.5053 0.5000 Cu
0.0000 0.6230 0.6733 Cu
0.0000 0.6230 0.3267 Cu
0.5000 0.9898 0.0000 Cu
0.0000 0.9951 0.1564 Cu
0.5000 0.3770 0.1733 Cu
0.0000 0.0102 0.5000 Cu
0.5000 0.0049 0.3436 Cu
0.0000 0.5130 0.8654 Sb
0.0000 0.8640 0.6666 Sb
0.0000 0.8389 0.0000 Sb
0.5000 0.4870 0.6346 Sb
0.5000 0.1611 0.5000 Sb
0.0000 0.5130 0.1346 Sb
0.5000 0.4870 0.3654 Sb
0.0000 0.8640 0.3334 Sb
0.5000 0.1360 0.8334 Sb
0.5000 0.1360 0.1666 Sb



[3]
GGA-PBE TbHoPbSe, relaxed; calculated volume = 111.31 Å³ per cell; energy relative to the elements, uncorrected = -1107.8 meV/atom; E_tot = -5.208 eV/atom
1.0
4.2923 0.0000 0.0000
0.0000 4.2850 0.2573
0.0000 -0.3621 6.0302
Tb Ho Pb Se
1 1 1 1
direct
0.5000 0.3913 0.0926 Tb
0.0000 0.8918 0.5923 Ho
0.0000 0.8913 0.0923 Pb
0.5000 0.3916 0.5926 Se